First-principles (PBE-GGA) data for a relaxed U4Ga16Fe3 crystal, as listed in Alexandria via LeMat-Bulk.

Cell lengths 6.0785, 6.0785, 10.9385 Å; angles 90.00, 90.00, 90.00 degrees
With the nearest neighbours (Å) after each atom.
Space group P4/mmm (No. 123)
One atom of each set of equivalent atoms:
U 0.0000 0.5000 0.1957 [4 per cell]  12 Ga 2.97-3.05, 1 Fe 3.33
Ga 0.0000 0.0000 0.1993 [2 per cell]  8 Ga 2.89-2.94, 4 U 3.04
Ga 0.2200 0.2200 0.0000 [4 per cell]  1 Fe 2.41, 2 Ga 2.67
Ga 0.2496 0.2496 0.3834 [8 per cell]  2 Fe 2.50, 2 Ga 2.55-2.80
Ga 0.5000 0.5000 0.2201 [2 per cell]  1 Fe 2.41
Fe 0.0000 0.5000 0.5000 [2 per cell]  8 Ga 2.50
Fe 0.5000 0.5000 0.0000 [1 per cell]  6 Ga 2.41

Values from the calculation:
- crystal system = tetragonal
- size of the total moment (Bohr magnetons per cell) = 8.064
- DFT formation energy (eV per atom) = -0.2532
- density of states at the Fermi level (states/eV/atom) = 1.054